DFT (meta-GGA SCAN) results for IrRu2Rh at its PBEsol-relaxed geometry.

Summary:
The calculation puts the polymorph energy (0 for the lowest one) at 13 meV/atom. Its crystal system is monoclinic. Its total energy is -43.622 eV per atom. Its symmetry is C2/m. The calculation puts the energy relative to the elements at 0.01 eV/atom.

```
IrRu2Rh
1.0
-0.265 -2.486 -0.945
4.494 -0.772 0.771
-1.553 -0.059 4.372
Ru Ir Rh
2 1 1
Cartesian
0.280 -0.840 2.133
2.397 -2.476 2.065
-0.132 -1.243 -0.472
2.247 -0.386 0.385
```